{
  "formula": "SrInTe",
  "functional": "PBE",
  "state": "optimized geometry",
  "formation_energy_uncorrected_ev_per_atom": -0.490,
  "dos_ef_per_ev_cell": 3.101,
  "cell": [[0.000, 3.896, 3.896], [3.896, 0.000, 3.896], [3.896, 3.896, 0.000]],
  "species": ["Sr", "In", "Te"],
  "fractional_positions": [[0.000, 0.000, 0.000], [0.750, 0.750, 0.750], [0.250, 0.250, 0.250]]
}

=====

{
  "formula": "SrInTe2",
  "functional": "PBE",
  "state": "optimized geometry",
  "formation_energy_uncorrected_ev_per_atom": -0.958,
  "dos_ef_per_ev_cell": 1.173,
  "cell": [[4.582, 0.000, 0.000], [0.000, 4.582, 0.000], [0.000, 0.000, 6.772]],
  "species": ["Sr", "In", "Te", "Te"],
  "fractional_positions": [[0.000, 0.000, 0.000], [0.500, 0.500, 0.538], [0.000, 0.000, 0.498], [0.500, 0.500, 0.990]]
}

=====

{
  "formula": "Sr2InTe",
  "functional": "PBE",
  "state": "optimized geometry",
  "formation_energy_uncorrected_ev_per_atom": -0.745,
  "dos_ef_per_ev_cell": 2.704,
  "e_above_lowest_polymorph_mev_per_atom": 158,
  "cell": [[-2.387, 2.387, 6.319], [2.387, -2.387, 6.319], [2.387, 2.387, -6.319]],
  "species": ["Sr", "Sr", "In", "Te"],
  "fractional_positions": [[0.000, 0.000, 0.000], [0.750, 0.250, 0.500], [0.500, 0.500, 0.000], [0.250, 0.750, 0.500]]
}

=====

{
  "formula": "Sr2InTe",
  "functional": "PBE",
  "state": "optimized geometry",
  "formation_energy_uncorrected_ev_per_atom": -0.885,
  "dos_ef_per_ev_cell": 2.656,
  "e_above_lowest_polymorph_mev_per_atom": 17,
  "cell": [[3.886, -2.241, 0.000], [3.886, 2.241, 0.000], [-2.578, 0.000, 8.989]],
  "species": ["Sr", "Sr", "In", "Te"],
  "fractional_positions": [[0.242, 0.242, 0.227], [0.758, 0.758, 0.773], [0.000, 0.000, 0.500], [0.500, 0.500, 0.000]]
}

=====

Number 1: total energy -9.03 eV per cell. Number 2: total energy -14.54 eV per cell. Number 3: total energy -12.22 eV per cell. Number 4: total energy -12.79 eV per cell.